Below is a relaxed MgSi2Hg2 crystal, with properties calculated at the PBE-GGA level.

Lattice parameters (Å, degrees): 6.9847 6.9847 4.3235 90.00 90.00 90.00
Fractional coordinates of all 10 atoms:
Mg1 0.0000 0.0000 0.0000
Mg2 0.5000 0.5000 0.0000
Si1 0.1189 0.3811 0.0000
Si2 0.3811 0.8811 0.0000
Si3 0.6189 0.1189 0.0000
Si4 0.8811 0.6189 0.0000
Hg1 0.1957 0.6957 0.5000
Hg2 0.3043 0.1957 0.5000
Hg3 0.6957 0.8043 0.5000
Hg4 0.8043 0.3043 0.5000

Calculated values
Crystal system: tetragonal
E above lowest polymorph in eV per atom: 0.093
Formation energy from raw total energies in eV per atom: 0.26
E_tot in eV per atom: -2.350
Theoretical density in Mg/m³: 7.58